1.
A plane-wave DFT calculation with PBE was carried out for a relaxed Mo2IrN crystal.

Computed properties:
crystal system	tetragonal
M_tot	0.000	μB/atom
uncorrected energy	-9.4759	eV per atom

POSCAR file:
```
Mo2IrN
1.0
4.9305 0.0000 0.0000
0.0000 4.9305 0.0000
2.4653 2.4653 5.4184
Ir N Mo
2 2 4
direct
0.0000 0.0000 0.0000 Ir
0.7500 0.2500 0.5000 Ir
0.5000 0.5000 0.0000 N
0.2500 0.7500 0.5000 N
0.8750 0.7904 0.7500 Mo
0.2096 0.6250 0.2500 Mo
0.3750 0.4596 0.7500 Mo
0.5404 0.1250 0.2500 Mo
```

=====

2.
A plane-wave DFT calculation with PBE was carried out for a relaxed Mo2IrN crystal.

Computed properties:
crystal system	trigonal
M_tot	0.000	μB/atom
uncorrected energy	-9.9590	eV per atom

POSCAR file:
```
Mo2IrN
1.0
-1.2889 -0.9330 2.3383
1.5134 -1.2014 2.0654
1.0089 5.8546 4.6027
Mo N Ir
2 1 1
direct
0.2684 0.2684 0.1947 Mo
0.0640 0.0640 0.8081 Mo
0.6646 0.6646 0.0063 N
0.5030 0.5030 0.4909 Ir
```